The following is a DFT calculation (GGA+U) of a relaxed Na3Er3MoO8 crystal.

## Properties
DOS at the Fermi energy, states/eV/cell: 0.00
E, eV/atom: -6.915
Total moment, μB/cell: 2.00

Cell lengths 6.6603, 6.6988, 6.7555 Å; angles 119.40, 90.00, 119.81 degrees
Fractional positions:
O: 0.7576 0.9759 0.6961
O: 0.7816 0.0241 0.3039
O: 0.2254 0.4507 0.7001
O: 0.7342 0.4684 0.7073
O: 0.7746 0.5493 0.2999
O: 0.2658 0.5316 0.2927
O: 0.2424 0.0241 0.3039
O: 0.2184 0.9759 0.6961
Er: 0.0000 0.5000 0.5000
Er: 0.5000 0.0000 0.5000
Er: 0.5000 0.5000 0.5000
Mo: 0.0000 0.0000 0.5000
Na: 0.0000 0.5000 0.0000
Na: 0.0000 0.0000 0.0000
Na: 0.5000 0.5000 0.0000